1.
Density functional theory data (GGA-PBEsol) for a geometry-optimized Be4MoRh structure.

```
data_Be4MoRh
_cell_length_a 6.168
_cell_length_b 6.168
_cell_length_c 6.168
_cell_angle_alpha 90.00
_cell_angle_beta 90.00
_cell_angle_gamma 90.00
_space_group_name_H-M_alt 'F -4 3 m'
_space_group_IT_number 216
_space_group_name_Hall 'F -4 2 3'
loop_
_atom_site_label
_atom_site_type_symbol
_atom_site_fract_x
_atom_site_fract_y
_atom_site_fract_z
Be1 Be 0.122 0.122 0.378
Mo1 Mo 0.250 0.250 0.750
Rh1 Rh 0.000 0.000 0.000
```

Computed properties:
Calculated total energy in eV for the cell shown: -150.69

=====

2.
Density functional theory data (GGA-PBEsol) for a geometry-optimized Be2ReMo structure.

```
data_Be2ReMo
_cell_length_a 3.135
_cell_length_b 3.965
_cell_length_c 7.542
_cell_angle_alpha 90.00
_cell_angle_beta 90.00
_cell_angle_gamma 90.00
_space_group_name_H-M_alt 'I m m 2'
_space_group_IT_number 44
_space_group_name_Hall 'I 2 -2'
loop_
_atom_site_label
_atom_site_type_symbol
_atom_site_fract_x
_atom_site_fract_y
_atom_site_fract_z
Be1 Be 0.000 0.000 0.000
Be2 Be 0.000 0.500 0.296
Re1 Re 0.000 0.000 0.531
Mo1 Mo 0.000 0.500 0.763
```

Computed properties:
Energy relative to the lowest polymorph listed for this composition in eV/atom: 0.207

=====

3.
Density functional theory data (GGA-PBEsol) for a geometry-optimized GaPtS2Cl structure.

```
data_GaPtS2Cl
_cell_length_a 4.648
_cell_length_b 4.648
_cell_length_c 4.906
_cell_angle_alpha 90.00
_cell_angle_beta 90.00
_cell_angle_gamma 90.00
_space_group_name_H-M_alt 'P 4/m m m'
_space_group_IT_number 123
_space_group_name_Hall '-P 4 2'
loop_
_atom_site_label
_atom_site_type_symbol
_atom_site_fract_x
_atom_site_fract_y
_atom_site_fract_z
Ga1 Ga 0.000 0.000 0.000
Pt1 Pt 0.500 0.500 0.500
S1 S 0.000 0.500 0.500
Cl1 Cl 0.500 0.500 0.000
```

Computed properties:
Formation energy (no corrections) in eV/atom: 0.146

=====

4.
Density functional theory data (GGA-PBEsol) for a geometry-optimized Ta2BeCr structure.

```
data_Ta2BeCr
_cell_length_a 2.9896
_cell_length_b 2.9896
_cell_length_c 22.3812
_cell_angle_alpha 90.00
_cell_angle_beta 90.00
_cell_angle_gamma 120.00
_space_group_name_H-M_alt 'R -3 m'
_space_group_IT_number 166
_space_group_name_Hall '-R 3 2"'
loop_
_atom_site_label
_atom_site_type_symbol
_atom_site_fract_x
_atom_site_fract_y
_atom_site_fract_z
Ta1 Ta 0.0000 0.0000 0.2477
Be1 Be 0.0000 0.0000 0.5000
Cr1 Cr 0.0000 0.0000 0.0000
```

Computed properties:
Calculated total energy in eV for the cell shown: -113.50

=====

5.
Density functional theory data (GGA-PBEsol) for a geometry-optimized HoFe2SiC structure.

```
data_HoFe2SiC
_cell_length_a 3.697
_cell_length_b 10.286
_cell_length_c 6.620
_cell_angle_alpha 90.00
_cell_angle_beta 90.00
_cell_angle_gamma 90.00
_space_group_name_H-M_alt 'C m c m'
_space_group_IT_number 63
_space_group_name_Hall '-C 2c 2'
loop_
_atom_site_label
_atom_site_type_symbol
_atom_site_fract_x
_atom_site_fract_y
_atom_site_fract_z
Ho1 Ho 0.000 0.051 0.250
Fe1 Fe 0.000 0.335 0.063
Si1 Si 0.000 0.230 0.750
C1 C 0.000 0.500 0.000
```

Computed properties:
Formation energy (no corrections) in eV/atom: -0.620

=====

6.
Density functional theory data (GGA-PBEsol) for a geometry-optimized LaSc4Rh structure.

```
data_LaSc4Rh
_cell_length_a 8.138
_cell_length_b 8.138
_cell_length_c 8.138
_cell_angle_alpha 90.00
_cell_angle_beta 90.00
_cell_angle_gamma 90.00
_space_group_name_H-M_alt 'F -4 3 m'
_space_group_IT_number 216
_space_group_name_Hall 'F -4 2 3'
loop_
_atom_site_label
_atom_site_type_symbol
_atom_site_fract_x
_atom_site_fract_y
_atom_site_fract_z
La1 La 0.000 0.000 0.000
Sc1 Sc 0.124 0.124 0.624
Rh1 Rh 0.250 0.250 0.250
```

Computed properties:
Calculated total energy in eV for the cell shown: -151.12

=====

What is the formula in the sixth record?
LaSc4Rh